#1
# Pm4Zn3Ag

A geometry-optimized Pm4Zn3Ag structure (PBE, Alexandria).

Unit cell a=3.6893 b=3.6893 c=14.6084 alpha=90.00 beta=90.00 gamma=90.00
Last column: nearest neighbours and their distance in Å.
Fractional positions:
Zn (0.5000, 0.5000, 0.7454)  8 Pm 3.16-3.17
Zn (0.5000, 0.5000, 0.5000)  8 Pm 3.17
Pm (0.0000, 0.0000, 0.1316)  4 Zn 3.17, 4 Ag 3.24
Pm (0.0000, 0.0000, 0.3762)  8 Zn 3.16-3.17
Zn (0.5000, 0.5000, 0.2546)  8 Pm 3.16-3.17
Ag (0.5000, 0.5000, 0.0000)  8 Pm 3.24
Pm (0.0000, 0.0000, 0.8684)  4 Zn 3.17, 4 Ag 3.24
Pm (0.0000, 0.0000, 0.6238)  8 Zn 3.16-3.17

## Properties
- symmetry = P4/mmm
- total magnetization (μB per atom) = 0.00
- calculated volume (Å³ per cell) = 198.8
- density of states at the Fermi level (states/eV/atom) = 1.083

***

#2
# Pm4Zn3Ag

A geometry-optimized Pm4Zn3Ag structure (PBE, Alexandria).

Unit cell a=3.6681 b=4.6185 c=11.9324 alpha=90.00 beta=90.00 gamma=90.00
Last column: nearest neighbours and their distance in Å.
Fractional positions:
Zn (0.5000, 0.0000, 0.9304)  2 Ag 2.82, 4 Pm 3.12
Pm (0.0000, 0.5000, 0.8451)  5 Zn 3.12-3.32, 2 Ag 3.22
Zn (0.0000, 0.0000, 0.4340)  2 Zn 2.80, 4 Pm 3.11
Zn (0.0000, 0.5000, 0.5667)  2 Zn 2.80, 4 Pm 3.12
Pm (0.5000, 0.5000, 0.3516)  6 Zn 3.11-3.15, 1 Ag 3.40
Ag (0.5000, 0.5000, 0.0668)  2 Zn 2.82, 4 Pm 3.12
Pm (0.5000, 0.0000, 0.6519)  7 Zn 3.12-3.32
Pm (0.0000, 0.0000, 0.1534)  4 Ag 3.12, 3 Zn 3.23-3.35

## Properties
- symmetry = Pmm2
- total magnetization (μB per atom) = 0.00
- calculated volume (Å³ per cell) = 202.1
- density of states at the Fermi level (states/eV/atom) = 1.051

***

Stability, lowest: #2

***

#1
# PmZnAg4

A geometry-optimized PmZnAg4 structure (PBE, Alexandria).

Unit cell a=5.5715 b=5.5715 c=5.5715 alpha=60.00 beta=60.00 gamma=60.00
Last column: nearest neighbours and their distance in Å.
Fractional positions:
Ag (0.6256, 0.6256, 0.1233)  6 Ag 2.77-2.80
Ag (0.6256, 0.6256, 0.6256)  6 Ag 2.77-2.80
Pm (0.2500, 0.2500, 0.2500)  12 Ag 3.27, 4 Zn 3.41
Ag (0.1233, 0.6256, 0.6256)  6 Ag 2.77-2.80
Ag (0.6256, 0.1233, 0.6256)  6 Ag 2.77-2.80
Zn (0.0000, 0.0000, 0.0000)  12 Ag 3.27, 4 Pm 3.41

## Properties
- symmetry = F-43m
- total magnetization (μB per atom) = 0.00
- calculated volume (Å³ per cell) = 122.3
- density of states at the Fermi level (states/eV/atom) = 1.142

***

#2
# PmZnAg4

A geometry-optimized PmZnAg4 structure (PBE, Alexandria).

Unit cell a=4.0139 b=7.4209 c=8.1919 alpha=90.00 beta=90.00 gamma=90.00
Last column: nearest neighbours and their distance in Å.
Fractional positions:
Ag (0.5000, 0.9414, 0.7500)  2 Zn 2.82, 6 Ag 2.90-3.12
Zn (0.0000, 0.2080, 0.7500)  8 Ag 2.56-2.82
Ag (0.0000, 0.0000, 0.0000)  2 Zn 2.56
Ag (0.5000, 0.3134, 0.5525)  2 Zn 2.69, 1 Ag 2.90
Ag (0.5000, 0.3134, 0.9475)  2 Zn 2.69, 1 Ag 2.90
Ag (0.0000, 0.0000, 0.5000)  2 Zn 2.56
Pm (0.0000, 0.6056, 0.7500)  1 Zn 2.95, 6 Ag 3.20-3.24
Ag (0.5000, 0.0586, 0.2500)  2 Zn 2.82, 6 Ag 2.90-3.12
Ag (0.5000, 0.6866, 0.0525)  2 Zn 2.69, 1 Ag 2.90
Pm (0.0000, 0.3944, 0.2500)  1 Zn 2.95, 6 Ag 3.20-3.24
Ag (0.5000, 0.6866, 0.4475)  2 Zn 2.69, 1 Ag 2.90
Zn (0.0000, 0.7920, 0.2500)  8 Ag 2.56-2.82

## Properties
- symmetry = Pmma
- total magnetization (μB per atom) = 0.00
- calculated volume (Å³ per cell) = 244.0
- density of states at the Fermi level (states/eV/atom) = 0.584

***

Stability, lowest: #1

***

#1
# Pm3Zn7Ag2

A geometry-optimized Pm3Zn7Ag2 structure (PBE, Alexandria).

Unit cell a=4.1925 b=4.4009 c=13.9191 alpha=99.37 beta=90.00 gamma=90.00
Last column: nearest neighbours and their distance in Å.
Fractional positions:
Pm (0.5000, 0.5000, 0.0000)  12 Zn 2.99-3.05
Zn (0.0000, 0.0000, 0.0000)  8 Zn 2.98-3.07, 4 Pm 3.04
Zn (0.0000, 0.5784, 0.1550)  2 Ag 2.61
Zn (0.5000, 0.2716, 0.5433)  2 Zn 2.50-2.51, 1 Ag 2.59
Ag (0.5000, 0.6368, 0.2681)  5 Zn 2.59-2.71
Zn (0.0000, 0.4216, 0.8450)  2 Ag 2.61
Ag (0.5000, 0.3631, 0.7319)  5 Zn 2.59-2.71
Zn (0.5000, 0.7284, 0.4567)  2 Zn 2.50-2.51, 1 Ag 2.59
Zn (0.5000, 0.0791, 0.1538)  2 Ag 2.70-2.71, 2 Zn 2.98
Zn (0.5000, 0.9209, 0.8462)  2 Ag 2.70-2.71, 2 Zn 2.98
Pm (0.0000, 0.1795, 0.3566)  4 Ag 3.26-3.28, 10 Zn 3.31-3.54
Pm (0.0000, 0.8205, 0.6434)  4 Ag 3.26-3.28, 10 Zn 3.31-3.54

## Properties
- symmetry = P2/m
- total magnetization (μB per atom) = 0.00
- calculated volume (Å³ per cell) = 253.4
- density of states at the Fermi level (states/eV/atom) = 0.836

***

#2
# Pm3Zn7Ag2

A geometry-optimized Pm3Zn7Ag2 structure (PBE, Alexandria).

Unit cell a=5.5266 b=5.5266 c=9.4835 alpha=73.06 beta=73.06 gamma=60.00
Last column: nearest neighbours and their distance in Å.
Fractional positions:
Zn (0.9205, 0.4140, 0.2515)  5 Zn 2.73-2.80, 2 Ag 2.74-2.77
Zn (0.4140, 0.9205, 0.2515)  5 Zn 2.73-2.80, 2 Ag 2.74-2.77
Zn (0.5000, 0.5000, 0.5000)  6 Zn 2.75
Pm (0.1418, 0.1418, 0.5747)  12 Zn 3.17-3.29, 3 Pm 3.46
Zn (0.4140, 0.4140, 0.2515)  5 Zn 2.73-2.80, 2 Ag 2.74-2.77
Ag (0.6655, 0.6655, 0.0035)  6 Zn 2.74-2.77
Zn (0.0795, 0.5860, 0.7485)  5 Zn 2.73-2.80, 2 Ag 2.74-2.77
Ag (0.3345, 0.3345, 0.9965)  6 Zn 2.74-2.77
Pm (0.0000, 0.0000, 0.0000)  6 Ag 3.19, 12 Zn 3.56
Zn (0.5860, 0.5860, 0.7485)  5 Zn 2.73-2.80, 2 Ag 2.74-2.77
Pm (0.8582, 0.8582, 0.4253)  12 Zn 3.17-3.29, 3 Pm 3.46
Zn (0.5860, 0.0795, 0.7485)  5 Zn 2.73-2.80, 2 Ag 2.74-2.77

## Properties
- symmetry = R-3m
- total magnetization (μB per atom) = 0.00
- calculated volume (Å³ per cell) = 236.2
- density of states at the Fermi level (states/eV/atom) = 0.701

***

Stability, lowest: #1

***

#1
# PmZn2Ag6

A geometry-optimized PmZn2Ag6 structure (PBE, Alexandria).

Unit cell a=4.2018 b=4.2018 c=9.8062 alpha=90.00 beta=90.00 gamma=90.00
Last column: nearest neighbours and their distance in Å.
Fractional positions:
Zn (0.5000, 0.5000, 0.1258)  1 Zn 2.47, 4 Ag 2.64
Pm (0.0000, 0.0000, 0.0000)  8 Zn 3.22, 8 Ag 3.53
Ag (0.5000, 0.0000, 0.7106)  2 Zn 2.64, 4 Ag 2.95
Ag (0.0000, 0.0000, 0.5000)  12 Ag 2.95-2.97
Ag (0.0000, 0.5000, 0.2894)  2 Zn 2.64, 4 Ag 2.95
Ag (0.5000, 0.0000, 0.2894)  2 Zn 2.64, 4 Ag 2.95
Ag (0.5000, 0.5000, 0.5000)  12 Ag 2.95-2.97
Ag (0.0000, 0.5000, 0.7106)  2 Zn 2.64, 4 Ag 2.95
Zn (0.5000, 0.5000, 0.8742)  1 Zn 2.47, 4 Ag 2.64

## Properties
- symmetry = P4/mmm
- total magnetization (μB per atom) = 0.00
- calculated volume (Å³ per cell) = 173.1
- density of states at the Fermi level (states/eV/atom) = 0.464

***

#2
# PmZn2Ag6

A geometry-optimized PmZn2Ag6 structure (PBE, Alexandria).

Unit cell a=4.9250 b=4.9250 c=9.6097 alpha=90.00 beta=90.00 gamma=120.00
Last column: nearest neighbours and their distance in Å.
Fractional positions:
Ag (0.3391, 0.0000, 0.7336)  2 Zn 2.77, 6 Ag 2.82-2.89, 1 Pm 3.06
Ag (0.6609, 0.0000, 0.2664)  2 Zn 2.77, 6 Ag 2.82-2.89, 1 Pm 3.06
Ag (0.6609, 0.6609, 0.7336)  2 Zn 2.77, 6 Ag 2.82-2.89, 1 Pm 3.06
Ag (0.3391, 0.3391, 0.2664)  2 Zn 2.77, 6 Ag 2.82-2.89, 1 Pm 3.06
Pm (0.0000, 0.0000, 0.0000)  6 Ag 3.06
Ag (0.0000, 0.3391, 0.7336)  2 Zn 2.77, 6 Ag 2.82-2.89, 1 Pm 3.06
Ag (0.0000, 0.6609, 0.2664)  2 Zn 2.77, 6 Ag 2.82-2.89, 1 Pm 3.06
Zn (0.6667, 0.3333, 0.5000)  6 Ag 2.77, 3 Zn 2.84
Zn (0.3333, 0.6667, 0.5000)  6 Ag 2.77, 3 Zn 2.84

## Properties
- symmetry = P-31m
- total magnetization (μB per atom) = 0.00
- calculated volume (Å³ per cell) = 201.9
- density of states at the Fermi level (states/eV/atom) = 0.525

***

Stability, lowest: #2